No. 1
Density functional theory data (PBE) for an optimized crystal structure of Mg2InAgGe.

Unit cell a=5.073 b=5.073 c=5.131 alpha=90.00 beta=90.00 gamma=90.00
Space group P4/mmm (No. 123)
Inequivalent atoms, fractional coordinates:
Mg1 0.000 0.500 0.000 (multiplicity 2)
In1 0.000 0.000 0.500 (multiplicity 1)
Ag1 0.000 0.000 0.000 (multiplicity 1)
Ge1 0.500 0.500 0.500 (multiplicity 1)

Computed properties:
- Total moment: 0.00 μB/cell
- Density: 4.3 g/cm³
- Energy relative to the elements: 0.34 eV/atom

=====

No. 2
Density functional theory data (PBE) for an optimized crystal structure of NaInAgGe.

Unit cell a=6.992 b=6.992 c=6.992 alpha=90.00 beta=90.00 gamma=90.00
Space group F-43m (No. 216)
Inequivalent atoms, fractional coordinates:
Na1 0.000 0.000 0.000 (multiplicity 4)
In1 0.000 0.000 0.500 (multiplicity 4)
Ag1 0.250 0.250 0.750 (multiplicity 4)
Ge1 0.250 0.250 0.250 (multiplicity 4)

Computed properties:
- Total moment: 0.00 μB/cell
- Density: 6.2 g/cm³
- Energy relative to the elements: 0.04 eV/atom

=====

No. 3
Density functional theory data (PBE) for an optimized crystal structure of NaInAg2Ge.

Unit cell a=5.286 b=5.286 c=5.319 alpha=90.00 beta=90.00 gamma=90.00
Space group P4/mmm (No. 123)
Inequivalent atoms, fractional coordinates:
Na1 0.000 0.000 0.000 (multiplicity 1)
In1 0.500 0.500 0.500 (multiplicity 1)
Ag1 0.000 0.500 0.500 (multiplicity 2)
Ge1 0.500 0.500 0.000 (multiplicity 1)

Computed properties:
- Total moment: 0.00 μB/cell
- Density: 4.8 g/cm³
- Energy relative to the elements: 0.38 eV/atom

=====

No. 4
Density functional theory data (PBE) for an optimized crystal structure of NdInAgGe.

Unit cell a=7.200 b=7.200 c=7.200 alpha=90.00 beta=90.00 gamma=90.00
Space group F-43m (No. 216)
Inequivalent atoms, fractional coordinates:
Nd1 0.000 0.000 0.000 (multiplicity 4)
In1 0.000 0.000 0.500 (multiplicity 4)
Ag1 0.250 0.250 0.750 (multiplicity 4)
Ge1 0.250 0.250 0.250 (multiplicity 4)

Computed properties:
- Total moment: 0.00 μB/cell
- Density: 7.8 g/cm³
- Energy relative to the elements: -0.28 eV/atom

=====

No. 5
Density functional theory data (PBE) for an optimized crystal structure of In2NiAgGe.

Unit cell a=4.839 b=4.839 c=4.980 alpha=90.00 beta=90.00 gamma=90.00
Space group P4/mmm (No. 123)
Inequivalent atoms, fractional coordinates:
In1 0.000 0.500 0.000 (multiplicity 2)
Ni1 0.000 0.000 0.000 (multiplicity 1)
Ag1 0.000 0.000 0.500 (multiplicity 1)
Ge1 0.500 0.500 0.500 (multiplicity 1)

Computed properties:
- Total moment: 0.00 μB/cell
- Density: 6.7 g/cm³
- Energy relative to the elements: 0.34 eV/atom

=====

No. 6
Density functional theory data (PBE) for an optimized crystal structure of InAg2GeO4.

Unit cell a=5.280 b=5.280 c=9.095 alpha=90.00 beta=90.00 gamma=90.00
Space group I-4 (No. 82)
Inequivalent atoms, fractional coordinates:
In1 0.000 0.000 0.000 (multiplicity 2)
Ag1 0.000 0.000 0.500 (multiplicity 2)
Ag2 0.000 0.500 0.750 (multiplicity 2)
Ge1 0.000 0.500 0.250 (multiplicity 2)
O1 0.173 0.722 0.137 (multiplicity 8)

Computed properties:
- Raw formation energy: -0.945 eV per atom
- Total moment: 0.00 μB/cell
- Density: 6.1 g/cm³

=====

No. 7
Density functional theory data (PBE) for an optimized crystal structure of InAgGePd.

Unit cell a=6.668 b=6.668 c=6.668 alpha=90.00 beta=90.00 gamma=90.00
Space group F-43m (No. 216)
Inequivalent atoms, fractional coordinates:
In1 0.000 0.000 0.000 (multiplicity 4)
Ag1 0.250 0.250 0.750 (multiplicity 4)
Ge1 0.000 0.000 0.500 (multiplicity 4)
Pd1 0.250 0.250 0.250 (multiplicity 4)

Computed properties:
- Total moment: 0.00 μB/cell
- Density: 9.0 g/cm³
- Energy relative to the elements: -0.05 eV/atom

=====

No. 8
Density functional theory data (PBE) for an optimized crystal structure of PrInAgGe.

Unit cell a=7.231 b=7.231 c=7.231 alpha=90.00 beta=90.00 gamma=90.00
Space group F-43m (No. 216)
Inequivalent atoms, fractional coordinates:
Pr1 0.000 0.000 0.000 (multiplicity 4)
In1 0.000 0.000 0.500 (multiplicity 4)
Ag1 0.250 0.250 0.250 (multiplicity 4)
Ge1 0.250 0.250 0.750 (multiplicity 4)

Computed properties:
- Total moment: 0.00 μB/cell
- Density: 7.7 g/cm³
- Energy relative to the elements: -0.28 eV/atom

=====

What is the formula in the first record?
Mg2InAgGe